Record 1
CsCoAgSe2S | PBE-GGA | relaxed

Cell and atoms, written as POSCAR:
```
CsCoAgSe2S
1.0
1.856 -8.042 0.000
1.856 8.042 0.000
0.000 0.000 10.179
Cs Co Ag Se S
2 2 2 4 2
direct
0.249 0.751 0.750 Cs
0.751 0.249 0.250 Cs
0.000 0.000 0.000 Co
0.000 0.000 0.500 Co
0.455 0.545 0.250 Ag
0.545 0.455 0.750 Ag
0.401 0.599 0.015 Se
0.401 0.599 0.485 Se
0.599 0.401 0.515 Se
0.599 0.401 0.985 Se
0.058 0.942 0.250 S
0.942 0.058 0.750 S
```

Values from the calculation:
symmetry = Cmcm
total energy = -3.878 eV per atom



Record 2
CsCoAgTe2S | PBE-GGA | relaxed

Cell and atoms, written as POSCAR:
```
CsCoAgTe2S
1.0
1.952 -8.369 0.000
1.952 8.369 0.000
0.000 0.000 10.571
Cs Co Ag Te S
2 2 2 4 2
direct
0.250 0.750 0.750 Cs
0.750 0.250 0.250 Cs
0.000 0.000 0.000 Co
0.000 0.000 0.500 Co
0.466 0.534 0.250 Ag
0.534 0.466 0.750 Ag
0.398 0.602 0.018 Te
0.398 0.602 0.482 Te
0.602 0.398 0.518 Te
0.602 0.398 0.982 Te
0.061 0.939 0.250 S
0.939 0.061 0.750 S
```

Values from the calculation:
symmetry = Cmcm
total energy = -3.683 eV per atom



Record 3
CsCoAgTeS2 | PBE-GGA | relaxed

Cell and atoms, written as POSCAR:
```
CsCoAgTeS2
1.0
1.770 -8.568 0.000
1.770 8.568 0.000
0.000 0.000 10.234
Cs Co Ag Te S
2 2 2 2 4
direct
0.236 0.764 0.750 Cs
0.764 0.236 0.250 Cs
0.000 0.000 0.000 Co
0.000 0.000 0.500 Co
0.439 0.561 0.250 Ag
0.561 0.439 0.750 Ag
0.068 0.932 0.250 Te
0.932 0.068 0.750 Te
0.412 0.588 0.019 S
0.412 0.588 0.481 S
0.588 0.412 0.519 S
0.588 0.412 0.981 S
```

Values from the calculation:
symmetry = Cmcm
total energy = -3.965 eV per atom



Record 4
CsCoAgTeSe2 | PBE-GGA | relaxed

Cell and atoms, written as POSCAR:
```
CsCoAgTeSe2
1.0
1.841 -8.569 0.000
1.841 8.569 0.000
0.000 0.000 10.469
Cs Co Ag Te Se
2 2 2 2 4
direct
0.242 0.758 0.750 Cs
0.758 0.242 0.250 Cs
0.000 0.000 0.000 Co
0.000 0.000 0.500 Co
0.437 0.563 0.250 Ag
0.563 0.437 0.750 Ag
0.062 0.938 0.250 Te
0.938 0.062 0.750 Te
0.406 0.594 0.014 Se
0.406 0.594 0.486 Se
0.594 0.406 0.514 Se
0.594 0.406 0.986 Se
```

Values from the calculation:
symmetry = Cmcm
total energy = -3.763 eV per atom



Record 5
CsCoAgTe3 | PBE-GGA | relaxed

Cell and atoms, written as POSCAR:
```
CsCoAgTe3
1.0
9.297 0.000 0.000
0.000 3.967 0.000
-4.569 0.000 9.939
Cs Co Ag Te
2 2 2 6
direct
0.242 0.250 0.281 Cs
0.758 0.750 0.719 Cs
0.335 0.750 0.858 Co
0.665 0.250 0.142 Co
0.048 0.250 0.603 Ag
0.952 0.750 0.397 Ag
0.158 0.250 0.881 Te
0.276 0.750 0.601 Te
0.478 0.750 0.116 Te
0.522 0.250 0.884 Te
0.724 0.250 0.399 Te
0.842 0.750 0.119 Te
```

Values from the calculation:
energy above the most stable polymorph in this dataset = 0 meV/atom
symmetry = P2_1/m



Record 6
Cs2CoAg2Te4 | PBE-GGA | relaxed

Cell and atoms, written as POSCAR:
```
Cs2CoAg2Te4
1.0
3.450 -6.864 0.000
3.450 6.864 0.000
0.000 0.000 6.826
Cs Co Ag Te
2 1 2 4
direct
0.000 0.500 0.237 Cs
0.500 0.000 0.763 Cs
0.000 0.000 0.500 Co
0.000 0.000 0.000 Ag
0.500 0.500 0.500 Ag
0.119 0.321 0.719 Te
0.321 0.119 0.281 Te
0.679 0.881 0.281 Te
0.881 0.679 0.719 Te
```

Values from the calculation:
symmetry = C222
total energy = -3.394 eV per atom



Record 7
CsCoAgTe3 | PBE-GGA | relaxed

Cell and atoms, written as POSCAR:
```
CsCoAgTe3
1.0
1.953 -8.618 0.000
1.953 8.618 0.000
0.000 0.000 10.867
Cs Co Ag Te
2 2 2 6
direct
0.240 0.760 0.750 Cs
0.760 0.240 0.250 Cs
0.000 0.000 0.000 Co
0.000 0.000 0.500 Co
0.444 0.556 0.250 Ag
0.556 0.444 0.750 Ag
0.060 0.940 0.250 Te
0.399 0.601 0.012 Te
0.399 0.601 0.488 Te
0.601 0.399 0.512 Te
0.601 0.399 0.988 Te
0.940 0.060 0.750 Te
```

Values from the calculation:
energy above the most stable polymorph in this dataset = 121 meV/atom
symmetry = Cmcm



Record 8
CoCuAgGe | PBE-GGA | relaxed

Cell and atoms, written as POSCAR:
```
CoCuAgGe
1.0
0.000 3.027 3.027
3.027 0.000 3.027
3.027 3.027 0.000
Co Cu Ag Ge
1 1 1 1
direct
0.000 0.000 0.000 Co
0.500 0.500 0.500 Cu
0.750 0.750 0.750 Ag
0.250 0.250 0.250 Ge
```

Values from the calculation:
energy above the most stable polymorph in this dataset = 0 meV/atom
symmetry = F-43m



Record 9
InCoCuAg | PBE-GGA | relaxed

Cell and atoms, written as POSCAR:
```
InCoCuAg
1.0
0.000 3.116 3.116
3.116 0.000 3.116
3.116 3.116 0.000
In Co Cu Ag
1 1 1 1
direct
0.000 0.000 0.000 In
0.250 0.250 0.250 Co
0.750 0.750 0.750 Cu
0.500 0.500 0.500 Ag
```

Values from the calculation:
energy above the most stable polymorph in this dataset = 0 meV/atom
symmetry = F-43m



Record 10
CoCuAgPb | PBE-GGA | relaxed

Cell and atoms, written as POSCAR:
```
CoCuAgPb
1.0
0.000 3.196 3.196
3.196 0.000 3.196
3.196 3.196 0.000
Co Cu Ag Pb
1 1 1 1
direct
0.000 0.000 0.000 Co
0.500 0.500 0.500 Cu
0.250 0.250 0.250 Ag
0.750 0.750 0.750 Pb
```

Values from the calculation:
energy above the most stable polymorph in this dataset = 0 meV/atom
symmetry = F-43m



Record 11
CoCuAgSb | PBE-GGA | relaxed

Cell and atoms, written as POSCAR:
```
CoCuAgSb
1.0
0.000 3.144 3.144
3.144 0.000 3.144
3.144 3.144 0.000
Co Cu Ag Sb
1 1 1 1
direct
0.000 0.000 0.000 Co
0.500 0.500 0.500 Cu
0.250 0.250 0.250 Ag
0.750 0.750 0.750 Sb
```

Values from the calculation:
energy above the most stable polymorph in this dataset = 0 meV/atom
symmetry = F-43m



Record 12
DyCoAg | PBE-GGA | relaxed

Cell and atoms, written as POSCAR:
```
DyCoAg
1.0
0.000 3.236 3.236
3.236 0.000 3.236
3.236 3.236 0.000
Dy Co Ag
1 1 1
direct
0.000 0.000 0.000 Dy
0.750 0.750 0.750 Co
0.250 0.250 0.250 Ag
```

Values from the calculation:
formation energy = 0.6321 eV/atom
symmetry = F-43m